The following is a PBE calculation of a geometry-optimized KPtNF2 structure, from the Alexandria database.

## Properties
Energy relative to the elements, uncorrected = -0.9252 eV per atom
Total energy = -23.83 eV per formula unit
Calculated volume = 81.9 Å³ per cell

Lattice parameters (Å, degrees): 4.7224 4.7224 3.6726 90.00 90.00 90.00
Last column: nearest neighbours and their distance in Å.
Element x y z (fractional)
K: 0.5000 0.5000 0.5000  8 F 2.99, 4 N 3.34
N: 0.0000 0.0000 0.5000  2 Pt 1.84
Pt: 0.0000 0.0000 0.0000  2 N 1.84
F: 0.0000 0.5000 0.0000  2 Pt 2.36
F: 0.5000 0.0000 0.0000  2 Pt 2.36

The following is a PBE calculation of a geometry-optimized KPtNF2 structure, from the Alexandria database.

## Properties
Energy relative to the elements, uncorrected = 0.8520 eV per atom
Total energy = -14.95 eV per formula unit
Calculated volume = 111.8 Å³ per cell

Lattice parameters (Å, degrees): 4.7515 4.7515 4.9507 90.00 90.00 90.00
Last column: nearest neighbours and their distance in Å.
Element x y z (fractional)
K: 0.0000 0.0000 0.0000  4 F 2.38, 2 N 2.48
N: 0.0000 0.0000 0.5000  2 K 2.48
Pt: 0.5000 0.5000 0.5000  4 N 3.36, 8 F 3.43
F: 0.0000 0.5000 0.0000  2 K 2.38
F: 0.5000 0.0000 0.0000  2 K 2.38

The following is a PBE calculation of a geometry-optimized KRbNF2 structure, from the Alexandria database.

## Properties
Energy relative to the elements, uncorrected = -0.7083 eV per atom
Total energy = -17.67 eV per formula unit
Calculated volume = 146.4 Å³ per cell

Lattice parameters (Å, degrees): 5.2616 5.2616 5.2873 90.00 90.00 90.00
Last column: nearest neighbours and their distance in Å.
Element x y z (fractional)
K: 0.5000 0.5000 0.5000  4 N 3.72, 8 F 3.73
N: 0.0000 0.0000 0.5000  2 Rb 2.64
Rb: 0.0000 0.0000 0.0000  4 F 2.63, 2 N 2.64
F: 0.0000 0.5000 0.0000  2 Rb 2.63
F: 0.5000 0.0000 0.0000  2 Rb 2.63

The following is a PBE calculation of a geometry-optimized KRbN2F structure, from the Alexandria database.

## Properties
Energy relative to the elements, uncorrected = 0.6082 eV per atom
Total energy = -17.55 eV per formula unit
Calculated volume = 139.1 Å³ per cell

Lattice parameters (Å, degrees): 5.3134 5.3134 4.9285 90.00 90.00 90.00
Last column: nearest neighbours and their distance in Å.
Element x y z (fractional)
K: 0.0000 0.0000 0.0000  2 F 2.46, 4 N 2.66
N: 0.0000 0.5000 0.0000  2 K 2.66
N: 0.5000 0.0000 0.0000  2 K 2.66
Rb: 0.5000 0.5000 0.5000  8 N 3.62, 4 F 3.76
F: 0.0000 0.0000 0.5000  2 K 2.46

The following is a PBE calculation of a geometry-optimized KRbN2F structure, from the Alexandria database.

## Properties
Energy relative to the elements, uncorrected = 0.7120 eV per atom
Total energy = -17.03 eV per formula unit
Calculated volume = 156.2 Å³ per cell

Lattice parameters (Å, degrees): 5.5088 5.5088 5.1484 90.00 90.00 90.00
Last column: nearest neighbours and their distance in Å.
Element x y z (fractional)
K: 0.5000 0.5000 0.5000  8 N 3.77, 4 F 3.90
N: 0.0000 0.5000 0.0000  2 Rb 2.75
N: 0.5000 0.0000 0.0000  2 Rb 2.75
Rb: 0.0000 0.0000 0.0000  2 F 2.57, 4 N 2.75
F: 0.0000 0.0000 0.5000  2 Rb 2.57

The following is a PBE calculation of a geometry-optimized KRbNF2 structure, from the Alexandria database.

## Properties
Energy relative to the elements, uncorrected = -0.8305 eV per atom
Total energy = -18.29 eV per formula unit
Calculated volume = 129.3 Å³ per cell

Lattice parameters (Å, degrees): 5.0435 5.0435 5.0846 90.00 90.00 90.00
Last column: nearest neighbours and their distance in Å.
Element x y z (fractional)
K: 0.0000 0.0000 0.0000  4 F 2.52, 2 N 2.54
N: 0.0000 0.0000 0.5000  2 K 2.54
Rb: 0.5000 0.5000 0.5000  4 N 3.57, 8 F 3.58
F: 0.0000 0.5000 0.0000  2 K 2.52
F: 0.5000 0.0000 0.0000  2 K 2.52

Please write out number 2 again, unchanged.
The following is a PBE calculation of a geometry-optimized KPtNF2 structure, from the Alexandria database.

## Properties
Energy relative to the elements, uncorrected = 0.8520 eV per atom
Total energy = -14.95 eV per formula unit
Calculated volume = 111.8 Å³ per cell

Lattice parameters (Å, degrees): 4.7515 4.7515 4.9507 90.00 90.00 90.00
Last column: nearest neighbours and their distance in Å.
Element x y z (fractional)
K: 0.0000 0.0000 0.0000  4 F 2.38, 2 N 2.48
N: 0.0000 0.0000 0.5000  2 K 2.48
Pt: 0.5000 0.5000 0.5000  4 N 3.36, 8 F 3.43
F: 0.0000 0.5000 0.0000  2 K 2.38
F: 0.5000 0.0000 0.0000  2 K 2.38

- Look up the energy relative to the elements, uncorrected of the fifth one.
  0.7120 eV per atom